# 1
Entry from Alexandria: a relaxed structure of AgSbRuI2 (GGA-PBE).

Properties
The excess energy over the best structure of this formula in the dataset comes out at 744.1 meV/atom. As for the calculated total energy: -13.021 eV/cell. Its space-group type is No. 123. Its uncorrected formation energy is 1266 meV per atom.

Cell: 5.620 5.620 5.400 Å, 90.00 90.00 90.00°
Site moments in Bohr magnetons follow the coordinates.
Fractional positions:
I (0.000, 0.500, 0.000)  0.03
I (0.500, 0.000, 0.000)  0.03
Sb (0.000, 0.000, 0.500)  -0.13
Ag (0.000, 0.000, 0.000)  -0.02
Ru (0.500, 0.500, 0.500)  2.68

# 2
Entry from Alexandria: a relaxed structure of AgSb2RuI (GGA-PBE).

Properties
The excess energy over the best structure of this formula in the dataset comes out at 0.0 meV/atom. As for the calculated total energy: -19.458 eV/cell. Its space-group type is No. 123. Its uncorrected formation energy is 493 meV per atom.

Cell: 5.022 5.022 5.847 Å, 90.00 90.00 90.00°
Fractional positions:
I (0.000, 0.000, 0.500)
Sb (0.000, 0.500, 0.000)
Sb (0.500, 0.000, 0.000)
Ag (0.500, 0.500, 0.500)
Ru (0.000, 0.000, 0.000)

# 3
Entry from Alexandria: a relaxed structure of Sm6AgRu2I3 (GGA-PBE).

Properties
As for the calculated total energy: -62.349 eV/cell. Its space-group type is No. 12. Its uncorrected formation energy is -665 meV per atom.

Cell: 7.247 7.247 8.465 Å, 98.19 98.19 119.98°
Fractional positions:
Sm (0.937, 0.575, 0.811)
Sm (0.701, 0.701, 0.187)
Sm (0.063, 0.425, 0.189)
Sm (0.575, 0.937, 0.811)
Sm (0.299, 0.299, 0.813)
Sm (0.425, 0.063, 0.189)
Ag (0.000, 0.000, 0.000)
Ru (0.333, 0.667, 0.000)
Ru (0.667, 0.333, 0.000)
I (0.165, 0.835, 0.500)
I (0.835, 0.165, 0.500)
I (0.500, 0.500, 0.500)

# 4
Entry from Alexandria: a relaxed structure of ZrAgRuI2 (GGA-PBE).

Properties
As for the calculated total energy: -16.767 eV/cell. Its space-group type is No. 123. Its uncorrected formation energy is 1402 meV per atom.

Cell: 5.284 5.060 5.284 Å, 90.00 90.00 90.00°
Fractional positions:
I (0.000, 0.000, 0.500)
I (0.500, 0.000, 0.000)
Ru (0.000, 0.500, 0.000)
Zr (0.500, 0.500, 0.500)
Ag (0.000, 0.000, 0.000)

# 5
Entry from Alexandria: a relaxed structure of ZrAg2RuI (GGA-PBE).

Properties
As for the calculated total energy: -19.621 eV/cell. Its space-group type is No. 123. Its uncorrected formation energy is 1091 meV per atom.

Cell: 5.041 4.881 5.041 Å, 90.00 90.00 90.00°
Fractional positions:
I (0.000, 0.500, 0.000)
Ru (0.000, 0.000, 0.000)
Zr (0.500, 0.500, 0.500)
Ag (0.000, 0.000, 0.500)
Ag (0.500, 0.000, 0.000)

# 6
Entry from Alexandria: a relaxed structure of AgS5I (GGA-PBE).

Properties
As for the calculated total energy: -24.060 eV/cell. Its space-group type is No. 1. Its uncorrected formation energy is 140 meV per atom.

Cell: 9.946 6.465 8.938 Å, 99.78 143.75 105.40°
Fractional positions:
Ag (0.563, 0.211, 0.608)
S (0.560, 0.961, 0.930)
S (0.166, 0.618, 0.217)
S (0.522, 0.216, 0.300)
S (0.355, 0.590, 0.552)
S (0.448, 0.160, 0.768)
I (0.917, 0.775, 0.686)

# 7
Entry from Alexandria: a relaxed structure of Ag4S2I (GGA-PBE).

Properties
The excess energy over the best structure of this formula in the dataset comes out at 0.0 meV/atom. As for the calculated total energy: -85.911 eV/cell. Its space-group type is No. 51. Its uncorrected formation energy is -38 meV per atom.

Cell: 3.968 12.047 14.429 Å, 90.00 90.00 90.00°
Fractional positions:
Ag (0.000, 0.117, 0.481)
Ag (0.000, 0.883, 0.519)
Ag (0.499, 0.000, 0.750)
Ag (0.000, 0.117, 0.981)
Ag (0.000, 0.383, 0.981)
Ag (0.999, 0.750, 0.847)
Ag (0.000, 0.883, 0.019)
Ag (0.001, 0.750, 0.347)
Ag (0.499, 0.500, 0.750)
Ag (0.501, 0.000, 0.250)
Ag (0.000, 0.383, 0.481)
Ag (0.001, 0.250, 0.153)
Ag (0.999, 0.250, 0.653)
Ag (0.501, 0.500, 0.250)
Ag (0.000, 0.617, 0.019)
Ag (0.000, 0.617, 0.519)
S (0.999, 0.449, 0.648)
S (0.999, 0.949, 0.852)
S (0.001, 0.949, 0.352)
S (0.999, 0.551, 0.852)
S (0.001, 0.551, 0.352)
S (0.999, 0.051, 0.648)
S (0.001, 0.051, 0.148)
S (0.001, 0.449, 0.148)
I (0.500, 0.250, 0.877)
I (0.500, 0.750, 0.623)
I (0.500, 0.250, 0.377)
I (0.500, 0.750, 0.123)

# 8
Entry from Alexandria: a relaxed structure of Ag4S12I (GGA-PBE).

Properties
As for the calculated total energy: -59.982 eV/cell. Its space-group type is No. 2. Its uncorrected formation energy is 147 meV per atom.

Cell: 5.862 19.564 9.091 Å, 143.42 70.73 118.79°
Fractional positions:
Ag (0.000, 0.500, 0.000)
Ag (0.000, 0.000, 0.500)
Ag (0.500, 0.000, 0.000)
Ag (0.500, 0.500, 0.500)
S (0.660, 0.130, 0.551)
S (0.872, 0.442, 0.314)
S (0.475, 0.631, 0.141)
S (0.073, 0.417, 0.598)
S (0.525, 0.369, 0.859)
S (0.128, 0.558, 0.686)
S (0.515, 0.742, 0.149)
S (0.485, 0.258, 0.851)
S (0.927, 0.583, 0.402)
S (0.371, 0.981, 0.256)
S (0.629, 0.019, 0.744)
S (0.340, 0.870, 0.449)
I (0.000, 0.000, 0.000)